1.
Ti2GaH2 | PBE | relaxed

## Properties
ρ: 5.26 g/cm³
Magnetic moment: 0.00 Bohr magnetons per cell
VASP energy: -0.2052 hartree per atom
SG: I4/mmm
Energy above the most stable polymorph in this dataset: 0 meV per atom

```
data_Ti2GaH2
_chemical_formula_sum 'Ti2 Ga1 H2'
_cell_length_a 6.483
_cell_length_b 6.483
_cell_length_c 6.483
_cell_angle_alpha 153.86
_cell_angle_beta 153.86
_cell_angle_gamma 37.31
_space_group_name_H-M_alt 'P 1'
_space_group_IT_number 1
loop_
_space_group_symop_operation_xyz
'x,y,z'
loop_
_atom_site_label
_atom_site_type_symbol
_atom_site_fract_x
_atom_site_fract_y
_atom_site_fract_z
Ti1 Ti 0.149 0.149 0.000
Ti2 Ti 0.851 0.851 0.000
Ga1 Ga 0.500 0.500 0.000
H1 H 0.250 0.750 0.500
H2 H 0.750 0.250 0.500
```



2.
Ti8GaH6 | PBE | relaxed

## Properties
ρ: 4.56 g/cm³
Magnetic moment: 0.00 Bohr magnetons per cell
VASP energy: -0.2214 hartree per atom
SG: R-3

```
data_Ti8GaH6
_chemical_formula_sum 'Ti8 Ga1 H6'
_cell_length_a 5.528
_cell_length_b 5.528
_cell_length_c 5.528
_cell_angle_alpha 94.94
_cell_angle_beta 94.94
_cell_angle_gamma 94.94
_space_group_name_H-M_alt 'P 1'
_space_group_IT_number 1
loop_
_space_group_symop_operation_xyz
'x,y,z'
loop_
_atom_site_label
_atom_site_type_symbol
_atom_site_fract_x
_atom_site_fract_y
_atom_site_fract_z
Ti1 Ti 0.070 0.404 0.736
Ti2 Ti 0.186 0.186 0.186
Ti3 Ti 0.264 0.930 0.596
Ti4 Ti 0.404 0.736 0.070
Ti5 Ti 0.596 0.264 0.930
Ti6 Ti 0.736 0.070 0.404
Ti7 Ti 0.814 0.814 0.814
Ti8 Ti 0.930 0.596 0.264
Ga1 Ga 0.500 0.500 0.500
H1 H 0.025 0.929 0.325
H2 H 0.071 0.675 0.975
H3 H 0.325 0.025 0.929
H4 H 0.675 0.975 0.071
H5 H 0.929 0.325 0.025
H6 H 0.975 0.071 0.675
```



3.
Ti3GaH | PBE | relaxed

## Properties
ρ: 5.37 g/cm³
Magnetic moment: 0.00 Bohr magnetons per cell
VASP energy: -0.2353 hartree per atom
SG: P2_1/m

```
data_Ti3GaH
_chemical_formula_sum 'Ti6 Ga2 H2'
_cell_length_a 5.655
_cell_length_b 4.618
_cell_length_c 5.785
_cell_angle_alpha 90.00
_cell_angle_beta 118.66
_cell_angle_gamma 90.00
_space_group_name_H-M_alt 'P 1'
_space_group_IT_number 1
loop_
_space_group_symop_operation_xyz
'x,y,z'
loop_
_atom_site_label
_atom_site_type_symbol
_atom_site_fract_x
_atom_site_fract_y
_atom_site_fract_z
Ti1 Ti 0.156 0.250 0.335
Ti2 Ti 0.318 0.750 0.133
Ti3 Ti 0.326 0.750 0.661
Ti4 Ti 0.674 0.250 0.339
Ti5 Ti 0.682 0.250 0.867
Ti6 Ti 0.844 0.750 0.665
Ga1 Ga 0.167 0.250 0.833
Ga2 Ga 0.833 0.750 0.167
H1 H 0.500 0.000 0.500
H2 H 0.500 0.500 0.500
```



4.
Ti3GaH | PBE | relaxed

## Properties
ρ: 3.77 g/cm³
Magnetic moment: 0.00 Bohr magnetons per cell
VASP energy: -0.2054 hartree per atom
SG: P4mm

```
data_Ti3GaH
_chemical_formula_sum 'Ti3 Ga1 H1'
_cell_length_a 3.716
_cell_length_b 3.716
_cell_length_c 6.834
_cell_angle_alpha 90.00
_cell_angle_beta 90.00
_cell_angle_gamma 90.00
_space_group_name_H-M_alt 'P 1'
_space_group_IT_number 1
loop_
_space_group_symop_operation_xyz
'x,y,z'
loop_
_atom_site_label
_atom_site_type_symbol
_atom_site_fract_x
_atom_site_fract_y
_atom_site_fract_z
Ti1 Ti 0.000 0.000 0.000
Ti2 Ti 0.000 0.500 0.700
Ti3 Ti 0.500 0.000 0.700
Ga1 Ga 0.000 0.000 0.393
H1 H 0.500 0.500 0.615
```



5.
TiTlGa2H | PBE | relaxed

## Properties
ρ: 8.16 g/cm³
Magnetic moment: 0.00 Bohr magnetons per cell
VASP energy: -0.1361 hartree per atom
SG: P4/mmm

```
data_TiTlGa2H
_chemical_formula_sum 'Ti1 Tl1 Ga2 H1'
_cell_length_a 4.173
_cell_length_b 4.173
_cell_length_c 4.589
_cell_angle_alpha 90.00
_cell_angle_beta 90.00
_cell_angle_gamma 90.00
_space_group_name_H-M_alt 'P 1'
_space_group_IT_number 1
loop_
_space_group_symop_operation_xyz
'x,y,z'
loop_
_atom_site_label
_atom_site_type_symbol
_atom_site_fract_x
_atom_site_fract_y
_atom_site_fract_z
Ti1 Ti 0.000 0.000 0.000
Tl1 Tl 0.500 0.500 0.000
Ga1 Ga 0.000 0.500 0.500
Ga2 Ga 0.500 0.000 0.500
H1 H 0.500 0.500 0.500
```



6.
TiV2GaH | PBE | relaxed

## Properties
ρ: 6.03 g/cm³
Magnetic moment: 0.00 Bohr magnetons per cell
VASP energy: -0.2443 hartree per atom
SG: P4/mmm
Energy above the most stable polymorph in this dataset: 126 meV per atom

```
data_TiV2GaH
_chemical_formula_sum 'Ti1 V2 Ga1 H1'
_cell_length_a 3.720
_cell_length_b 3.720
_cell_length_c 4.391
_cell_angle_alpha 90.00
_cell_angle_beta 90.00
_cell_angle_gamma 90.00
_space_group_name_H-M_alt 'P 1'
_space_group_IT_number 1
loop_
_space_group_symop_operation_xyz
'x,y,z'
loop_
_atom_site_label
_atom_site_type_symbol
_atom_site_fract_x
_atom_site_fract_y
_atom_site_fract_z
Ti1 Ti 0.000 0.000 0.000
V1 V 0.000 0.500 0.500
V2 V 0.500 0.000 0.500
Ga1 Ga 0.500 0.500 0.000
H1 H 0.500 0.500 0.500
```